{
  "formula": "Y5Mn3Ni3O18",
  "functional": "GGA+U",
  "state": "optimized geometry",
  "cell": [[5.5533, 0.0000, 0.0000], [0.0000, 7.5525, -0.0174], [0.0000, -0.0496, 15.8192]],
  "species": ["Y", "Y", "Y", "Y", "Y", "Y", "Y", "Y", "Y", "Y", "Mn", "Mn", "Mn", "Mn", "Mn", "Mn", "Ni", "Ni", "Ni", "Ni", "Ni", "Ni", "O", "O", "O", "O", "O", "O", "O", "O", "O", "O", "O", "O", "O", "O", "O", "O", "O", "O", "O", "O", "O", "O", "O", "O", "O", "O", "O", "O", "O", "O", "O", "O", "O", "O", "O", "O"],
  "fractional_positions": [[0.1839, 0.2512, 0.4927], [0.1788, 0.2510, 0.8294], [0.6799, 0.2486, 0.0103], [0.6881, 0.2488, 0.3361], [0.6684, 0.2494, 0.6731], [0.3316, 0.7494, 0.1731], [0.3201, 0.7486, 0.5103], [0.3119, 0.7488, 0.8361], [0.8212, 0.7510, 0.3294], [0.8161, 0.7512, 0.9927], [0.7774, 0.0047, 0.1676], [0.7556, 0.9969, 0.5037], [0.7476, 0.9975, 0.8312], [0.2444, 0.4969, 0.0037], [0.2524, 0.4975, 0.3312], [0.2226, 0.5047, 0.6676], [0.7735, 0.4966, 0.1662], [0.7533, 0.5030, 0.5031], [0.7458, 0.5005, 0.8323], [0.2467, 0.0030, 0.0031], [0.2542, 0.0005, 0.3323], [0.2265, 0.9966, 0.6662], [0.9305, 0.0328, 0.0601], [0.9408, 0.0502, 0.4003], [0.9436, 0.0662, 0.7389], [0.4567, 0.4622, 0.0943], [0.4546, 0.4478, 0.4317], [0.4311, 0.4519, 0.7658], [0.5689, 0.9519, 0.2658], [0.5433, 0.9622, 0.5943], [0.5454, 0.9478, 0.9317], [0.0564, 0.5662, 0.2389], [0.0695, 0.5328, 0.5601], [0.0592, 0.5502, 0.9003], [0.9373, 0.4665, 0.0546], [0.9594, 0.4470, 0.3956], [0.9540, 0.4322, 0.7340], [0.4833, 0.0369, 0.1012], [0.4626, 0.0541, 0.4351], [0.4501, 0.0533, 0.7694], [0.5499, 0.5533, 0.2694], [0.5167, 0.5369, 0.6012], [0.5374, 0.5541, 0.9351], [0.0460, 0.9322, 0.2340], [0.0627, 0.9665, 0.5546], [0.0406, 0.9470, 0.8956], [0.2181, 0.7457, 0.0355], [0.2252, 0.7443, 0.3703], [0.2194, 0.7444, 0.6967], [0.7294, 0.7532, 0.1344], [0.7184, 0.7550, 0.4680], [0.7151, 0.7567, 0.8081], [0.2849, 0.2567, 0.3081], [0.2706, 0.2532, 0.6344], [0.2816, 0.2550, 0.9680], [0.7806, 0.2444, 0.1967], [0.7819, 0.2457, 0.5355], [0.7748, 0.2443, 0.8703]],
  "dos_ef_per_ev_atom": 0.3673,
  "dft_energy_ev_per_cell": -426.15,
  "m_tot_mub_per_cell": 24.00,
  "sg": "Pc"
}